This record from the Alexandria database describes a relaxed structure of MgH3Ir5. The functional is PBE.

Structure (POSCAR):
```
MgH3Ir5
1.0
-1.2198 4.6320 1.0919
-4.7951 -0.0606 -1.4370
1.3324 -2.3497 4.1316
Mg H Ir
1 3 5
Cartesian
-3.0344 1.5343 1.6167
-1.9141 3.0081 0.9874
-2.6464 -0.3595 0.4439
-4.8927 2.1168 1.4411
-1.1233 0.7753 3.4144
-1.8076 -1.8397 3.0425
-0.9285 -0.2114 0.9600
-4.9903 2.3666 -0.3312
-3.9545 -1.1169 1.4208
```

**Volume**: 11.079 Å³/atom
**Energy above the lowest structure with this stoichiometry**: 0.043 eV per atom